Record 1
! SCAN MnAgH8O4F4, single point on PBEsol structure; values from VASP
! - Space-group type: P2_1/m (11)
! - Final energy: -7.92 eV per atom
&SYSTEM
  ibrav = 0, nat = 36, ntyp = 5
/
ATOMIC_SPECIES
O 16.00 O.upf
H 1.01 H.upf
F 19.00 F.upf
Mn 54.94 Mn.upf
Ag 107.87 Ag.upf
ATOMIC_POSITIONS angstrom
O 6.4528 -2.9216 0.9052
O 5.2365 -3.2003 -2.6935
O -0.2510 -0.6925 -1.3428
O 7.7556 -6.7231 -2.1752
O 2.2682 -4.2153 -0.8246
O 4.6507 -7.2132 -1.0878
O 2.8539 -0.2024 -2.4302
O 1.0518 -4.4940 -4.4232
H 4.2349 -5.6755 -4.0237
H 3.2552 -4.4019 -0.6466
H 2.7827 -1.1864 -2.5660
H 1.6950 -4.6482 -0.1002
H 5.0499 -5.2300 1.1281
H 4.2495 -3.0136 -2.8714
H 1.6551 -1.9949 1.0712
H 7.5149 -5.7883 -1.9302
H -0.7614 -2.6932 -3.5198
H 4.7220 -6.2291 -0.9521
H 2.4548 -2.1855 -4.6462
H 5.8097 -2.7673 -3.4179
H 5.8495 -5.4206 -4.5892
H 3.2698 -1.7400 0.5057
H -0.0102 -1.6273 -1.5879
H 8.2661 -4.7223 0.0017
F 4.7144 -4.6510 -0.3748
F 2.7903 -2.7646 -3.1433
F 4.2781 -1.8989 -0.4738
F 6.9451 -1.4779 -1.4079
F 3.2265 -5.5167 -3.0442
F 7.4387 -4.2209 -1.3289
F 0.5595 -5.9377 -2.1102
F 0.0659 -3.1946 -2.1892
Mn 5.8381 -2.9982 -0.8845
Mn 1.6665 -4.4173 -2.6335
Ag 2.4906 -7.8128 -1.8109
Ag 5.0140 0.3972 -1.7072
CELL_PARAMETERS angstrom
-1.5025 -3.0012 -5.6429
6.5932 1.0408 -2.3090
2.4139 -5.4551 4.4339


Record 2
! SCAN Pr7Mn8O24, single point on PBEsol structure; values from VASP
! - Raw formation energy: -2936.7 meV per atom
! - Space-group type: Cm (8)
&SYSTEM
  ibrav = 0, nat = 39, ntyp = 3
/
ATOMIC_SPECIES
O 16.00 O.upf
Pr 140.91 Pr.upf
Mn 54.94 Mn.upf
ATOMIC_POSITIONS angstrom
O 3.1287 4.5972 3.7912
O 3.2259 0.8368 0.0000
O 6.8071 4.4053 0.0000
O 2.5992 1.1244 3.8097
O 4.7485 0.7839 5.3855
O 2.8347 -0.9881 2.1818
O 4.7273 4.8933 1.5928
O 2.7963 2.8708 5.7989
O 2.9625 2.8637 1.7341
O 0.9403 1.0622 6.0124
O -0.9943 2.8752 5.4234
O 6.4932 2.8488 2.1612
O -0.8246 -0.9674 5.8712
O 4.7495 0.8698 2.2164
O 2.7062 -0.9823 5.4441
O 0.9206 4.7330 5.3889
O 6.5833 6.7019 1.8064
O -1.2298 4.9877 3.7956
O -0.6583 0.7661 3.8140
O 0.9415 1.2095 1.7372
O 2.6083 4.8087 0.0000
O 6.3449 1.1457 0.0000
O -2.8456 -2.6216 5.8681
O 0.9195 4.6471 2.2198
Pr 4.7282 -1.0523 3.7856
Pr 1.0150 2.8977 0.0000
Pr 0.9195 -1.0592 3.7389
Pr 4.7287 2.9488 0.0000
Pr 0.8992 2.8110 3.8197
Pr 4.8284 6.7733 0.0000
Pr 4.7065 2.7719 3.8663
Mn 6.6441 4.7757 1.8753
Mn 2.8301 0.9165 1.8786
Mn 2.8083 4.8093 1.8687
Mn -0.9787 0.9782 5.7366
Mn -0.9387 0.9512 1.8927
Mn 2.8570 0.9446 5.7300
Mn -0.9989 4.7797 5.7267
Mn 2.8483 4.7823 5.7125
CELL_PARAMETERS angstrom
7.6160 -0.0322 0.0000
-0.0419 7.6944 0.0000
-3.7870 -3.8311 7.6053


Record 3
! SCAN FeSi2Cl, single point on PBEsol structure; values from VASP
! - Raw formation energy: 443.3 meV per atom
! - Space-group type: C2/m (12)
! - E above lowest polymorph: 196 meV per atom
&SYSTEM
  ibrav = 0, nat = 4, ntyp = 3
/
ATOMIC_SPECIES
Si 28.09 Si.upf
Fe 55.84 Fe.upf
Cl 35.45 Cl.upf
ATOMIC_POSITIONS angstrom
Si 1.4530 0.8823 1.7308
Si 1.2317 -2.0682 0.3013
Fe 0.0000 0.0000 0.0000
Cl 2.6847 -1.1859 2.0321
CELL_PARAMETERS angstrom
-0.8331 -1.0695 2.3363
2.4635 -4.1364 0.6026
2.9060 1.7646 3.4617


Record 4
! SCAN BeAsOs3, single point on PBEsol structure; values from VASP
! - Space-group type: Pm-3m (221)
! - Energy relative to the elements: 5.1 eV/f.u.
&SYSTEM
  ibrav = 0, nat = 5, ntyp = 3
/
ATOMIC_SPECIES
Os 190.23 Os.upf
As 74.92 As.upf
Be 9.01 Be.upf
ATOMIC_POSITIONS angstrom
Os 0.0000 0.0000 2.0561
Os 0.0000 2.0561 0.0000
Os 2.0561 0.0000 0.0000
As 2.0561 2.0561 2.0561
Be 0.0000 0.0000 0.0000
CELL_PARAMETERS angstrom
4.1122 0.0000 0.0000
0.0000 4.1122 0.0000
0.0000 0.0000 4.1122